# 1
First-principles (PBE) data for a geometry-optimized SmY2Ta structure, as listed in the Alexandria database.

a b c (Å): 3.2955 3.2955 35.4845
angles (deg): 90.00 90.00 120.00
Space group R-3m (No. 166, hexagonal axes)
Unique sites:
Sm 0.0000 0.0000 0.0000 (multiplicity 3)
Y 0.0000 0.0000 0.4173 (multiplicity 6)
Ta 0.0000 0.0000 0.5000 (multiplicity 3)

Summary:
Fermi-level density of states, states/eV/f.u.: 5.6
Energy of formation from the pure elements, eV/atom: 0.636

# 2
First-principles (PBE) data for a geometry-optimized Sm2TaZn structure, as listed in the Alexandria database.

a b c (Å): 3.1766 3.1766 33.7064
angles (deg): 90.00 90.00 120.00
Space group R-3m (No. 166, hexagonal axes)
Unique sites:
Sm 0.0000 0.0000 0.0906 (multiplicity 6)
Ta 0.0000 0.0000 0.0000 (multiplicity 3)
Zn 0.0000 0.0000 0.5000 (multiplicity 3)

Summary:
Fermi-level density of states, states/eV/f.u.: 6.8
Energy of formation from the pure elements, eV/atom: 0.582

# 3
First-principles (PBE) data for a geometry-optimized Tb7Sm2 structure, as listed in the Alexandria database.

a b c (Å): 6.1912 6.1912 8.7456
angles (deg): 90.00 90.00 120.00
Space group P-31m (No. 162)
Unique sites:
Tb 0.0000 0.0000 0.0000 (multiplicity 1)
Tb 0.0000 0.3329 0.6654 (multiplicity 6)
Sm 0.3333 0.6667 0.0000 (multiplicity 2)

Summary:
Fermi-level density of states, states/eV/f.u.: 11.5
Energy of formation from the pure elements, eV/atom: 0.016

# 4
First-principles (PBE) data for a geometry-optimized Tb6Sm5 structure, as listed in the Alexandria database.

a b c (Å): 9.1448 13.1491 6.4132
angles (deg): 90.00 107.73 90.00
Space group C2/m (No. 12)
Unique sites:
Tb 0.1652 0.0000 0.1877 (multiplicity 4)
Tb 0.1775 0.1308 0.6716 (multiplicity 8)
Sm 0.0000 0.2398 0.0000 (multiplicity 4)
Sm 0.0000 0.3710 0.5000 (multiplicity 4)
Sm 0.0000 0.5000 0.0000 (multiplicity 2)

Summary:
Fermi-level density of states, states/eV/f.u.: 12.2
Energy of formation from the pure elements, eV/atom: 0.136

# 5
First-principles (PBE) data for a geometry-optimized Tb2Sm5 structure, as listed in the Alexandria database.

a b c (Å): 16.4700 3.5312 11.3693
angles (deg): 90.00 132.90 90.00
Space group C2/m (No. 12)
Unique sites:
Tb 0.1359 0.0000 0.4101 (multiplicity 4)
Sm 0.0000 0.5000 0.5000 (multiplicity 2)
Sm 0.1328 0.0000 0.8610 (multiplicity 4)
Sm 0.1609 0.5000 0.1638 (multiplicity 4)

Summary:
Fermi-level density of states, states/eV/f.u.: 11.7
Energy of formation from the pure elements, eV/atom: 0.202

# 6
First-principles (PBE) data for a geometry-optimized Tb2Sm structure, as listed in the Alexandria database.

a b c (Å): 3.5801 3.5801 15.2180
angles (deg): 90.00 90.00 90.00
Space group I4/mmm (No. 139)
Unique sites:
Tb 0.0000 0.0000 0.1675 (multiplicity 4)
Sm 0.0000 0.0000 0.5000 (multiplicity 2)

Summary:
Fermi-level density of states, states/eV/f.u.: 3.8
Energy of formation from the pure elements, eV/atom: 0.016

# 7
First-principles (PBE) data for a geometry-optimized Tb3Sm4 structure, as listed in the Alexandria database.

a b c (Å): 3.5993 3.5993 35.6579
angles (deg): 90.00 90.00 90.00
Space group I4/mmm (No. 139)
Unique sites:
Tb 0.0000 0.0000 0.0000 (multiplicity 2)
Tb 0.0000 0.0000 0.2850 (multiplicity 4)
Sm 0.0000 0.0000 0.1437 (multiplicity 4)
Sm 0.0000 0.0000 0.4288 (multiplicity 4)

Summary:
Fermi-level density of states, states/eV/f.u.: 9.0
Energy of formation from the pure elements, eV/atom: 0.016

# 8
First-principles (PBE) data for a geometry-optimized Tb2Sm structure, as listed in the Alexandria database.

a b c (Å): 11.3422 5.0609 7.1663
angles (deg): 90.00 108.50 90.00
Space group C2/m (No. 12)
Unique sites:
Tb 0.9996 0.0000 0.2487 (multiplicity 4)
Tb 0.1664 0.5000 0.0827 (multiplicity 4)
Sm 0.1667 0.5000 0.5839 (multiplicity 4)

Summary:
Fermi-level density of states, states/eV/f.u.: 4.0
Energy of formation from the pure elements, eV/atom: 0.014

# 9
First-principles (PBE) data for a geometry-optimized Tb6Sm structure, as listed in the Alexandria database.

a b c (Å): 6.5226 6.5226 11.0377
angles (deg): 90.00 90.00 90.00
Space group P4/nbm (No. 125, origin choice 2)
Unique sites:
Tb 0.0821 0.5821 0.1376 (multiplicity 8)
Tb 0.2500 0.2500 0.3601 (multiplicity 4)
Sm 0.2500 0.7500 0.5000 (multiplicity 2)

Summary:
Fermi-level density of states, states/eV/f.u.: 10.3
Energy of formation from the pure elements, eV/atom: 0.257

# 10
First-principles (PBE) data for a geometry-optimized Tb6Sm structure, as listed in the Alexandria database.

a b c (Å): 8.0374 8.0374 8.0374
angles (deg): 90.00 90.00 90.00
Space group Im-3m (No. 229)
Unique sites:
Tb 0.0000 0.2500 0.5000 (multiplicity 12)
Sm 0.0000 0.0000 0.0000 (multiplicity 2)

Summary:
Fermi-level density of states, states/eV/f.u.: 6.2
Energy of formation from the pure elements, eV/atom: 1.386

# 11
First-principles (PBE) data for a geometry-optimized Tb7Sm2 structure, as listed in the Alexandria database.

a b c (Å): 9.7421 9.7421 3.5485
angles (deg): 90.00 90.00 120.00
Space group P-62m (No. 189)
Unique sites:
Tb 0.0000 0.0000 0.0000 (multiplicity 1)
Tb 0.0000 0.3050 0.5000 (multiplicity 3)
Tb 0.0000 0.6443 0.0000 (multiplicity 3)
Sm 0.3333 0.6667 0.5000 (multiplicity 2)

Summary:
Fermi-level density of states, states/eV/f.u.: 16.1
Energy of formation from the pure elements, eV/atom: 0.042

# 12
First-principles (PBE) data for a geometry-optimized Tb2Sm5 structure, as listed in the Alexandria database.

a b c (Å): 5.7500 5.7500 24.5149
angles (deg): 90.00 90.00 120.00
Space group R-3m (No. 166, hexagonal axes)
Unique sites:
Tb 0.0000 0.0000 0.1517 (multiplicity 6)
Sm 0.0000 0.0000 0.0000 (multiplicity 3)
Sm 0.0000 0.0000 0.2924 (multiplicity 6)
Sm 0.0000 0.0000 0.4311 (multiplicity 6)

Summary:
Fermi-level density of states, states/eV/f.u.: 18.6
Energy of formation from the pure elements, eV/atom: 0.142

# 13
First-principles (PBE) data for a geometry-optimized TbSm2 structure, as listed in the Alexandria database.

a b c (Å): 11.2504 5.8712 6.0558
angles (deg): 90.00 90.01 90.00
Space group C2/m (No. 12)
Unique sites:
Tb 0.0907 0.0000 0.2168 (multiplicity 4)
Sm 0.0867 0.5000 0.7785 (multiplicity 4)
Sm 0.2465 0.0000 0.7034 (multiplicity 4)

Summary:
Fermi-level density of states, states/eV/f.u.: 5.7
Energy of formation from the pure elements, eV/atom: 0.112

# 14
First-principles (PBE) data for a geometry-optimized TbSm5 structure, as listed in the Alexandria database.

a b c (Å): 5.1107 15.3613 5.1107
angles (deg): 90.00 90.00 90.00
Space group Cmmm (No. 65)
Unique sites:
Tb 0.0000 0.0000 0.0000 (multiplicity 2)
Sm 0.0000 0.1664 0.5000 (multiplicity 4)
Sm 0.0000 0.3339 0.0000 (multiplicity 4)
Sm 0.0000 0.5000 0.5000 (multiplicity 2)

Summary:
Fermi-level density of states, states/eV/f.u.: 8.5
Energy of formation from the pure elements, eV/atom: 0.015

# 15
First-principles (PBE) data for a geometry-optimized Tb3Sm8 structure, as listed in the Alexandria database.

a b c (Å): 12.0784 12.0784 8.9632
angles (deg): 90.00 90.00 120.00
Space group R-3 (No. 148, hexagonal axes)
Unique sites:
Tb 0.0000 0.5000 0.0000 (multiplicity 9)
Sm 0.0000 0.0000 0.2668 (multiplicity 6)
Sm 0.0401 0.4669 0.6435 (multiplicity 18)

Summary:
Fermi-level density of states, states/eV/f.u.: 12.4
Energy of formation from the pure elements, eV/atom: 0.364

# 16
First-principles (PBE) data for a geometry-optimized Tb4Sm3 structure, as listed in the Alexandria database.

a b c (Å): 11.3498 5.0736 8.0265
angles (deg): 90.00 98.10 90.00
Space group C2/m (No. 12)
Unique sites:
Tb 0.0718 0.0000 0.2121 (multiplicity 4)
Tb 0.1426 0.5000 0.9292 (multiplicity 4)
Sm 0.0000 0.5000 0.5000 (multiplicity 2)
Sm 0.2140 0.0000 0.6442 (multiplicity 4)

Summary:
Fermi-level density of states, states/eV/f.u.: 9.7
Energy of formation from the pure elements, eV/atom: 0.015

# 17
First-principles (PBE) data for a geometry-optimized Tb7Sm5 structure, as listed in the Alexandria database.

a b c (Å): 18.7091 3.6022 13.1984
angles (deg): 90.00 118.21 90.00
Space group C2/m (No. 12)
Unique sites:
Tb 0.0000 0.0000 0.0000 (multiplicity 2)
Tb 0.0275 0.5000 0.2501 (multiplicity 4)
Tb 0.1384 0.0000 0.7492 (multiplicity 4)
Tb 0.1663 0.0000 0.4985 (multiplicity 4)
Sm 0.0000 0.5000 0.5000 (multiplicity 2)
Sm 0.1660 0.5000 0.9990 (multiplicity 4)
Sm 0.1946 0.0000 0.2507 (multiplicity 4)

Summary:
Fermi-level density of states, states/eV/f.u.: 15.9
Energy of formation from the pure elements, eV/atom: 0.003

# 18
First-principles (PBE) data for a geometry-optimized TbSm2 structure, as listed in the Alexandria database.

a b c (Å): 3.6043 3.6043 15.3077
angles (deg): 90.00 90.00 90.00
Space group I4/mmm (No. 139)
Unique sites:
Tb 0.0000 0.0000 0.0000 (multiplicity 2)
Sm 0.0000 0.0000 0.3342 (multiplicity 4)

Summary:
Fermi-level density of states, states/eV/f.u.: 3.9
Energy of formation from the pure elements, eV/atom: 0.016

# 19
First-principles (PBE) data for a geometry-optimized Tb4Sm3 structure, as listed in the Alexandria database.

a b c (Å): 3.5878 3.5878 35.5759
angles (deg): 90.00 90.00 90.00
Space group I4/mmm (No. 139)
Unique sites:
Tb 0.0000 0.0000 0.0716 (multiplicity 4)
Tb 0.0000 0.0000 0.3580 (multiplicity 4)
Sm 0.0000 0.0000 0.2136 (multiplicity 4)
Sm 0.0000 0.0000 0.5000 (multiplicity 2)

Summary:
Fermi-level density of states, states/eV/f.u.: 9.0
Energy of formation from the pure elements, eV/atom: 0.016

# 20
First-principles (PBE) data for a geometry-optimized Tb8Sm3 structure, as listed in the Alexandria database.

a b c (Å): 9.7400 9.7400 13.2480
angles (deg): 90.00 90.00 120.00
Space group R-3 (No. 148, hexagonal axes)
Unique sites:
Tb 0.0000 0.0000 0.1230 (multiplicity 6)
Tb 0.0332 0.8085 0.6123 (multiplicity 18)
Sm 0.0000 0.5000 0.5000 (multiplicity 9)

Summary:
Fermi-level density of states, states/eV/f.u.: 16.5
Energy of formation from the pure elements, eV/atom: 0.541

# 21
First-principles (PBE) data for a geometry-optimized Tb5Sm7 structure, as listed in the Alexandria database.

a b c (Å): 18.7727 3.6151 13.2423
angles (deg): 90.00 118.18 90.00
Space group C2/m (No. 12)
Unique sites:
Tb 0.0000 0.0000 0.0000 (multiplicity 2)
Tb 0.1673 0.0000 0.5010 (multiplicity 4)
Tb 0.1943 0.5000 0.7491 (multiplicity 4)
Sm 0.0000 0.5000 0.5000 (multiplicity 2)
Sm 0.0281 0.0000 0.7499 (multiplicity 4)
Sm 0.1392 0.5000 0.2507 (multiplicity 4)
Sm 0.1670 0.5000 0.0014 (multiplicity 4)

Summary:
Fermi-level density of states, states/eV/f.u.: 15.9
Energy of formation from the pure elements, eV/atom: 0.005

# 22
First-principles (PBE) data for a geometry-optimized Tb7Sm6 structure, as listed in the Alexandria database.

a b c (Å): 6.6196 6.6196 35.0494
angles (deg): 90.00 90.00 120.00
Space group R-3m (No. 166, hexagonal axes)
Unique sites:
Tb 0.0000 0.0000 0.0000 (multiplicity 3)
Tb 0.0042 0.5021 0.4134 (multiplicity 18)
Sm 0.0000 0.0000 0.1660 (multiplicity 6)
Sm 0.0000 0.0000 0.3502 (multiplicity 6)
Sm 0.0000 0.0000 0.4530 (multiplicity 6)

Summary:
Fermi-level density of states, states/eV/f.u.: 29.5
Energy of formation from the pure elements, eV/atom: 0.262

# 23
First-principles (PBE) data for a geometry-optimized Tb7Sm3 structure, as listed in the Alexandria database.

a b c (Å): 18.2439 5.0557 7.1822
angles (deg): 90.00 101.36 90.00
Space group C2/m (No. 12)
Unique sites:
Tb 0.0000 0.0000 0.0000 (multiplicity 2)
Tb 0.1001 0.5000 0.3005 (multiplicity 4)
Tb 0.0997 0.5000 0.7998 (multiplicity 4)
Tb 0.1998 0.0000 0.5998 (multiplicity 4)
Sm 0.0000 0.0000 0.5000 (multiplicity 2)
Sm 0.1995 0.0000 0.1000 (multiplicity 4)

Summary:
Fermi-level density of states, states/eV/f.u.: 13.4
Energy of formation from the pure elements, eV/atom: 0.014

# 24
First-principles (PBE) data for a geometry-optimized Tb3Sm5 structure, as listed in the Alexandria database.

a b c (Å): 5.0884 5.0959 10.1904
angles (deg): 90.00 90.00 90.00
Space group Pmmm (No. 47)
Unique sites:
Tb 0.0000 0.0000 0.0000 (multiplicity 1)
Tb 0.0000 0.5000 0.2490 (multiplicity 2)
Sm 0.0000 0.0000 0.5000 (multiplicity 1)
Sm 0.5000 0.0000 0.2490 (multiplicity 2)
Sm 0.5000 0.5000 0.0000 (multiplicity 1)
Sm 0.5000 0.5000 0.5000 (multiplicity 1)

Summary:
Fermi-level density of states, states/eV/f.u.: 12.7
Energy of formation from the pure elements, eV/atom: 0.018